[1]
The following is a DFT calculation (PBEsol) of FeAgSe after structural relaxation.

As for the uncorrected formation energy: 0.659 eV/atom.

The structure belongs to space group F-43m (No. 216); the cell edges are 6.107, 6.107 and 6.107 Å and the angles 90.00°, 90.00° and 90.00°. The asymmetric unit holds Fe at (0.000, 0.000, 0.000), Ag at (0.250, 0.250, 0.750) and Se at (0.000, 0.000, 0.500).

=====

[2]
The following is a DFT calculation (PBEsol) of Cr2Ag2O7 after structural relaxation.

As for the uncorrected formation energy: -1.250 eV/atom.

The structure belongs to space group P-1 (No. 2); the cell edges are 6.445, 6.774 and 7.025 Å and the angles 92.05°, 112.08° and 93.83°. The asymmetric unit holds Cr at (0.200, 0.343, 0.317), Cr at (0.245, 0.842, 0.021), Ag at (0.246, 0.352, 0.819), Ag at (0.267, 0.872, 0.546), O at (0.041, 0.243, 0.064), O at (0.108, 0.561, 0.333), O at (0.154, 0.203, 0.487), O at (0.271, 0.000, 0.859), O at (0.333, 0.935, 0.257), O at (0.376, 0.645, 0.007) and O at (0.460, 0.357, 0.342).

=====

[3]
The following is a DFT calculation (PBEsol) of ThGaRh after structural relaxation.

For the calculated formation energy, the calculation gives -0.903 eV/atom.

The structure belongs to space group P-62m (No. 189); the cell edges are 7.0880, 7.0880 and 4.0727 Å and the angles 90.00°, 90.00° and 120.00°. The asymmetric unit holds Th at (0.0000, 0.4156, 0.0000), Ga at (0.0000, 0.7647, 0.5000), Rh at (0.0000, 0.0000, 0.0000) and Rh at (0.3333, 0.6667, 0.5000).

=====

[4]
The following is a DFT calculation (PBEsol) of TbErO3 after structural relaxation.

As for the uncorrected formation energy: -2.804 eV/atom.

The structure belongs to space group Pm-3m (No. 221); the cell edges are 4.196, 4.196 and 4.196 Å and the angles 90.00°, 90.00° and 90.00°. The asymmetric unit holds Tb at (0.000, 0.000, 0.000), Er at (0.500, 0.500, 0.500) and O at (0.000, 0.500, 0.500).